VASP calculation (PBE with a Hubbard U) on a geometry-optimized ScNiN2F structure. Values from VASP.

```
&SYSTEM
  ibrav = 0, nat = 5, ntyp = 4
/
ATOMIC_SPECIES
Sc 44.96 Sc.upf
Ni 58.69 Ni.upf
N 14.01 N.upf
F 19.00 F.upf
CELL_PARAMETERS angstrom
-2.6133 2.6756 -0.0927
-2.1339 -2.0035 2.3302
1.6402 1.7048 2.9678
ATOMIC_POSITIONS crystal
Sc 0.5000 0.5000 0.5000
Ni 0.0000 0.0000 0.0000
N 0.0000 0.5000 0.0000
N 0.5000 0.0000 0.0000
F 0.0000 0.0000 0.5000
```

Summary:
Energy above the most stable polymorph in this dataset in eV/f.u.: 0.00
Magnetic moment in Bohr magnetons per cell: 1.1
Space-group type: No. 123